# 1
# Na4Sb2C4SO16

A relaxed structure of Na4Sb2C4SO16 (PBE-GGA, Alexandria via LeMat-Bulk).

## Properties
Uncorrected formation energy, eV per atom: -1.476
Energy relative to the lowest polymorph listed for this composition, meV/atom: 0

a = 10.065 Å, b = 10.065 Å, c = 10.435 Å
α = 118.21°, β = 118.21°, γ = 91.13°
Positions (direct):
O  0.037  0.237  0.960
O  0.694  0.072  0.390
O  0.928  0.306  0.610
O  0.554  0.432  0.110
O  0.556  0.678  0.110
O  0.959  0.527  0.208
O  0.471  0.652  0.690
O  0.696  0.318  0.390
O  0.779  0.098  0.810
O  0.322  0.444  0.890
O  0.288  0.969  0.190
O  0.568  0.446  0.890
O  0.031  0.712  0.810
O  0.473  0.041  0.792
O  0.931  0.999  0.708
O  0.777  0.709  0.708
O  0.763  0.963  0.040
O  0.291  0.223  0.292
O  0.219  0.038  0.690
O  0.682  0.304  0.610
O  0.973  0.673  0.460
O  0.327  0.027  0.540
O  0.923  0.723  0.960
O  0.319  0.751  0.792
O  0.001  0.069  0.292
O  0.213  0.513  0.540
O  0.487  0.787  0.460
O  0.348  0.529  0.310
O  0.277  0.077  0.040
O  0.902  0.221  0.190
O  0.962  0.781  0.310
O  0.249  0.681  0.208
Na  0.547  0.047  0.500
Na  0.702  0.298  0.000
Na  0.298  0.702  0.000
Na  0.703  0.703  0.000
Na  0.953  0.453  0.500
Na  0.548  0.452  0.500
Na  0.297  0.297  0.000
Na  0.952  0.048  0.500
Sb  0.125  0.875  0.750
Sb  0.125  0.875  0.250
Sb  0.625  0.875  0.750
Sb  0.125  0.375  0.250
C  0.917  0.112  0.827
C  0.888  0.083  0.173
C  0.910  0.715  0.827
C  0.362  0.667  0.327
C  0.285  0.090  0.173
C  0.965  0.660  0.327
C  0.333  0.638  0.673
C  0.340  0.035  0.673
S  0.500  0.500  0.000
S  0.750  0.250  0.500

***

# 2
# AsSe2Br

A relaxed structure of AsSe2Br (PBE-GGA, Alexandria via LeMat-Bulk).

## Properties
Uncorrected formation energy, eV per atom: 0.063
Energy relative to the lowest polymorph listed for this composition, meV/atom: 214

a = 4.087 Å, b = 4.090 Å, c = 7.889 Å
α = 90.00°, β = 90.00°, γ = 90.00°
Positions (direct):
As  0.000  0.000  0.341
Se  0.500  0.500  0.400
Se  0.000  0.000  0.062
Br  0.500  0.500  0.697

***

# 3
# Tb2Pr2Ho

A relaxed structure of Tb2Pr2Ho (PBE-GGA, Alexandria via LeMat-Bulk).

## Properties
Energy of formation, meV/atom: 24.7
Energy relative to the lowest polymorph listed for this composition, meV/atom: 0

a = 6.370 Å, b = 8.599 Å, c = 9.696 Å
α = 43.51°, β = 70.82°, γ = 68.26°
Positions (direct):
Pr  0.612  0.255  0.348
Pr  0.785  0.755  0.848
Pr  0.215  0.245  0.152
Pr  0.388  0.745  0.652
Ho  0.416  0.250  0.750
Ho  0.584  0.750  0.250
Tb  0.180  0.758  0.048
Tb  0.986  0.742  0.452
Tb  0.820  0.242  0.952
Tb  0.014  0.258  0.548

***

# 4
# AcP2Rh2

A relaxed structure of AcP2Rh2 (PBE-GGA, Alexandria via LeMat-Bulk).

## Properties
Energy of formation, meV/atom: -995.0
Energy relative to the lowest polymorph listed for this composition, meV/atom: 60

a = 6.407 Å, b = 6.407 Å, c = 6.317 Å
α = 107.53°, β = 107.53°, γ = 113.98°
Positions (direct):
Rh  0.506  0.256  0.013
Rh  0.756  0.006  0.513
Rh  0.244  0.994  0.487
Rh  0.494  0.744  0.987
P  0.806  0.694  0.250
P  0.556  0.944  0.750
P  0.444  0.056  0.250
P  0.194  0.306  0.750
Ac  0.125  0.375  0.250
Ac  0.875  0.625  0.750

***

# 5
# ZrP2SeS

A relaxed structure of ZrP2SeS (PBE-GGA, Alexandria via LeMat-Bulk).

## Properties
Uncorrected formation energy, eV per atom: 0.541
Energy relative to the lowest polymorph listed for this composition, meV/atom: 132

a = 4.681 Å, b = 4.681 Å, c = 4.622 Å
α = 90.00°, β = 90.00°, γ = 90.00°
Positions (direct):
S  0.000  0.000  0.500
P  0.500  0.000  0.000
P  0.000  0.500  0.000
Zr  0.500  0.500  0.500
Se  0.000  0.000  0.000

***

# 6
# CrBr

A relaxed structure of CrBr (PBE-GGA, Alexandria via LeMat-Bulk).

## Properties
Uncorrected formation energy, eV per atom: 0.272

a = 3.351 Å, b = 7.303 Å, c = 11.105 Å
α = 90.00°, β = 90.00°, γ = 90.00°
Last column: magnetic moment on the atom in μB.
Positions (direct):
Cr  0.000  0.033  0.693  0.04
Cr  0.500  0.967  0.193  0.04
Cr  0.500  0.967  0.807  0.04
Cr  0.500  0.549  0.500  4.09
Cr  0.000  0.451  0.000  4.09
Cr  0.000  0.033  0.307  0.04
Br  0.500  0.163  0.000  0.00
Br  0.000  0.837  0.500  0.00
Br  0.500  0.299  0.330  0.00
Br  0.000  0.701  0.170  0.00
Br  0.000  0.701  0.830  0.00
Br  0.500  0.299  0.670  0.00

***

# 7
# SrTcCl

A relaxed structure of SrTcCl (PBE-GGA, Alexandria via LeMat-Bulk).

## Properties
Uncorrected formation energy, eV per atom: 0.770
Energy relative to the lowest polymorph listed for this composition, meV/atom: 542

a = 5.292 Å, b = 5.292 Å, c = 5.292 Å
α = 60.00°, β = 60.00°, γ = 60.00°
Last column: magnetic moment on the atom in μB.
Positions (direct):
Sr  0.750  0.750  0.750  0.03
Tc  0.000  0.000  0.000  3.19
Cl  0.500  0.500  0.500  0.07

***

# 8
# Li3CeCd9

A relaxed structure of Li3CeCd9 (PBE-GGA, Alexandria via LeMat-Bulk).

## Properties
Energy of formation, meV/atom: -201.0

a = 5.416 Å, b = 7.582 Å, c = 7.605 Å
α = 82.74°, β = 69.14°, γ = 69.20°
Last column: magnetic moment on the atom in μB.
Positions (direct):
Li  0.000  0.000  0.500  0.00
Li  0.500  0.500  0.000  0.00
Li  0.500  0.000  0.500  0.00
Cd  0.489  0.791  0.220  0.00
Cd  0.998  0.659  0.354  0.00
Cd  0.648  0.341  0.354  0.00
Cd  0.002  0.341  0.646  0.00
Cd  0.292  0.209  0.220  0.00
Cd  0.708  0.791  0.780  0.00
Cd  0.511  0.209  0.780  0.00
Cd  0.352  0.659  0.646  0.00
Cd  0.000  0.500  0.000  0.00
Ce  0.000  0.000  0.000  0.93

***

# 9
# SrRe2Au

A relaxed structure of SrRe2Au (PBE-GGA, Alexandria via LeMat-Bulk).

## Properties
Energy of formation, meV/atom: 868.6
Energy relative to the lowest polymorph listed for this composition, meV/atom: 573

a = 5.965 Å, b = 5.965 Å, c = 2.779 Å
α = 79.39°, β = 79.39°, γ = 124.07°
Positions (direct):
Re  0.500  0.500  0.000
Re  0.000  0.000  0.000
Sr  0.500  0.000  0.500
Au  0.000  0.500  0.500

***

# 10
# GaAgH2

A relaxed structure of GaAgH2 (PBE-GGA, Alexandria via LeMat-Bulk).

## Properties
Energy relative to the lowest polymorph listed for this composition, meV/atom: 0

a = 5.298 Å, b = 5.298 Å, c = 5.380 Å
α = 60.50°, β = 60.50°, γ = 90.00°
Positions (direct):
Ag  0.000  0.000  0.000
Ag  0.750  0.250  0.500
H  0.375  0.287  0.750
H  0.713  0.125  0.250
H  0.875  0.963  0.750
H  0.037  0.625  0.250
Ga  0.250  0.750  0.500
Ga  0.500  0.500  0.000

***

# 11
# FeOsPd2

A relaxed structure of FeOsPd2 (PBE-GGA, Alexandria via LeMat-Bulk).

## Properties
Energy of formation, meV/atom: 664.7
Energy relative to the lowest polymorph listed for this composition, meV/atom: 0

a = 4.308 Å, b = 4.308 Å, c = 4.308 Å
α = 60.00°, β = 60.00°, γ = 60.00°
Positions (direct):
Fe  0.000  0.000  0.000
Pd  0.750  0.750  0.750
Pd  0.250  0.250  0.250
Os  0.500  0.500  0.500

***

# 12
# Mg2ScTl

A relaxed structure of Mg2ScTl (PBE-GGA, Alexandria via LeMat-Bulk).

## Properties
Energy of formation, meV/atom: 135.0
Energy relative to the lowest polymorph listed for this composition, meV/atom: 319

a = 8.214 Å, b = 8.214 Å, c = 6.543 Å
α = 51.12°, β = 51.12°, γ = 90.00°
Positions (direct):
Sc  0.250  0.750  0.500
Sc  0.500  0.500  0.000
Mg  0.103  0.625  0.250
Mg  0.647  0.125  0.250
Mg  0.875  0.897  0.750
Mg  0.375  0.353  0.750
Tl  0.000  0.000  0.000
Tl  0.750  0.250  0.500

***

# 13
# ErPaCo

A relaxed structure of ErPaCo (PBE-GGA, Alexandria via LeMat-Bulk).

## Properties
Energy of formation, meV/atom: -81.0
Energy relative to the lowest polymorph listed for this composition, meV/atom: 61

a = 5.747 Å, b = 6.631 Å, c = 7.420 Å
α = 98.91°, β = 90.00°, γ = 90.00°
Positions (direct):
Er  0.139  0.684  0.377
Er  0.861  0.316  0.623
Er  0.361  0.184  0.877
Er  0.639  0.816  0.123
Pa  0.149  0.701  0.865
Pa  0.851  0.299  0.135
Pa  0.351  0.201  0.365
Pa  0.649  0.799  0.635
Co  0.639  0.532  0.366
Co  0.361  0.468  0.634
Co  0.861  0.032  0.866
Co  0.139  0.968  0.134

***

# 14
# TaTcF2

A relaxed structure of TaTcF2 (PBE-GGA, Alexandria via LeMat-Bulk).

## Properties
Uncorrected formation energy, eV per atom: 0.082
Energy relative to the lowest polymorph listed for this composition, meV/atom: 923

a = 4.226 Å, b = 4.226 Å, c = 4.226 Å
α = 60.00°, β = 60.00°, γ = 60.00°
Last column: magnetic moment on the atom in μB.
Positions (direct):
Tc  0.000  0.000  0.000  2.19
F  0.750  0.750  0.750  0.08
F  0.250  0.250  0.250  0.08
Ta  0.500  0.500  0.500  -0.55

***

# 15
# CdTe2Se

A relaxed structure of CdTe2Se (PBE-GGA, Alexandria via LeMat-Bulk).

## Properties
Uncorrected formation energy, eV per atom: 0.117

a = 4.485 Å, b = 4.485 Å, c = 8.059 Å
α = 90.00°, β = 90.00°, γ = 125.70°
Positions (direct):
Se  0.500  0.500  0.750
Cd  0.500  0.500  0.250
Te  0.000  0.000  0.994
Te  0.000  0.000  0.506

***

# 16
# SbAsAu2

A relaxed structure of SbAsAu2 (PBE-GGA, Alexandria via LeMat-Bulk).

## Properties
Uncorrected formation energy, eV per atom: 0.220
Energy relative to the lowest polymorph listed for this composition, meV/atom: 185

a = 4.890 Å, b = 4.890 Å, c = 4.890 Å
α = 60.00°, β = 60.00°, γ = 60.00°
Positions (direct):
As  0.000  0.000  0.000
Au  0.250  0.250  0.250
Au  0.750  0.750  0.750
Sb  0.500  0.500  0.500

***

# 17
# CdGe2Pb2

A relaxed structure of CdGe2Pb2 (PBE-GGA, Alexandria via LeMat-Bulk).

## Properties
Energy of formation, meV/atom: 166.3
Energy relative to the lowest polymorph listed for this composition, meV/atom: 34

a = 3.750 Å, b = 3.750 Å, c = 9.765 Å
α = 78.93°, β = 78.93°, γ = 90.00°
Positions (direct):
Pb  0.392  0.392  0.216
Pb  0.608  0.608  0.784
Cd  0.000  0.000  0.000
Ge  0.750  0.250  0.500
Ge  0.250  0.750  0.500

***

# 18
# Dy5Pa3H12

A relaxed structure of Dy5Pa3H12 (PBE-GGA, Alexandria via LeMat-Bulk).

## Properties
DFT total energy, eV per atom: -4.94

a = 11.206 Å, b = 11.206 Å, c = 11.206 Å
α = 109.47°, β = 109.47°, γ = 109.47°
Positions (direct):
Dy  0.000  0.000  0.500
Dy  0.500  0.000  0.000
Dy  0.125  0.375  0.250
Dy  0.750  0.625  0.375
Dy  0.875  0.250  0.625
Dy  0.375  0.250  0.125
Dy  0.625  0.750  0.875
Dy  0.500  0.500  0.000
Dy  0.000  0.500  0.500
Dy  0.250  0.375  0.625
Dy  0.000  0.000  0.000
Dy  0.500  0.500  0.500
Dy  0.875  0.625  0.750
Dy  0.750  0.125  0.875
Dy  0.625  0.875  0.250
Dy  0.375  0.125  0.750
Dy  0.500  0.000  0.500
Dy  0.000  0.500  0.000
Dy  0.125  0.750  0.375
Dy  0.250  0.875  0.125
H  0.926  0.347  0.271
H  0.771  0.345  0.924
H  0.153  0.424  0.079
H  0.074  0.421  0.845
H  0.576  0.729  0.655
H  0.076  0.921  0.347
H  0.926  0.579  0.155
H  0.229  0.574  0.653
H  0.653  0.074  0.229
H  0.424  0.153  0.579
H  0.347  0.421  0.076
H  0.579  0.653  0.424
H  0.921  0.845  0.574
H  0.426  0.771  0.847
H  0.074  0.653  0.729
H  0.271  0.847  0.926
H  0.729  0.576  0.155
H  0.579  0.926  0.655
H  0.655  0.426  0.579
H  0.771  0.426  0.347
H  0.076  0.155  0.229
H  0.655  0.229  0.576
H  0.924  0.845  0.771
H  0.653  0.579  0.924
H  0.729  0.153  0.074
H  0.921  0.076  0.847
H  0.345  0.574  0.421
H  0.079  0.155  0.426
H  0.155  0.076  0.729
H  0.574  0.345  0.921
H  0.229  0.655  0.076
H  0.845  0.921  0.074
H  0.155  0.079  0.926
H  0.347  0.926  0.771
H  0.424  0.271  0.345
H  0.574  0.229  0.153
H  0.924  0.079  0.653
H  0.421  0.347  0.576
H  0.845  0.924  0.271
H  0.421  0.074  0.345
H  0.426  0.655  0.079
H  0.079  0.924  0.153
H  0.271  0.424  0.845
H  0.153  0.729  0.574
H  0.847  0.271  0.426
H  0.576  0.847  0.421
H  0.345  0.771  0.424
H  0.847  0.576  0.921
Pa  0.125  0.250  0.875
Pa  0.625  0.375  0.750
Pa  0.875  0.125  0.250
Pa  0.750  0.375  0.125
Pa  0.250  0.125  0.375
Pa  0.250  0.625  0.875
Pa  0.125  0.875  0.750
Pa  0.875  0.750  0.125
Pa  0.750  0.875  0.625
Pa  0.375  0.750  0.625
Pa  0.375  0.625  0.250
Pa  0.625  0.250  0.375

***

# 19
# KTcSb2F

A relaxed structure of KTcSb2F (PBE-GGA, Alexandria via LeMat-Bulk).

## Properties
Uncorrected formation energy, eV per atom: 0.844

a = 5.811 Å, b = 5.811 Å, c = 4.304 Å
α = 90.00°, β = 90.00°, γ = 90.00°
Last column: magnetic moment on the atom in μB.
Positions (direct):
Sb  0.000  0.500  0.000  -0.13
Sb  0.500  0.000  0.000  -0.13
F  0.000  0.000  0.500  0.01
K  0.000  0.000  0.000  -0.01
Tc  0.500  0.500  0.500  3.47

***

The calculation returns the following calculated density values, one per record and in order: 2.9; 3.9; 7.5; 8.3; 4.3; 4.8; 3.5; 7.1; 14.5; 5.5; 13.5; 4.9; 10.9; 9.9; 5.6; 11.9; 8.4; 9.3; 4.6 g/cm3.